No. 1
The following is a DFT calculation (PBE) of a geometry-optimized ZnCo2As structure.

The value obtained for the energy above the most stable polymorph in this dataset is 105.0 meV/atom.

The structure belongs to space group I-4m2 (No. 119); the cell edges are 3.529, 3.529 and 8.005 Å and the angles 90.00°, 90.00° and 90.00°. Symmetry generates all atoms from Zn at (0.000, 0.000, 0.000), Co at (0.000, 0.000, 0.500), Co at (0.000, 0.500, 0.250) and As at (0.000, 0.500, 0.750).

No. 2
The following is a DFT calculation (PBE) of a geometry-optimized ZnCo2As structure.

The value obtained for the energy above the most stable polymorph in this dataset is 7.2 meV/atom.

The structure belongs to space group P4/mmm (No. 123); the cell edges are 2.910, 2.910 and 5.856 Å and the angles 90.00°, 90.00° and 90.00°. Symmetry generates all atoms from Zn at (0.000, 0.000, 0.000), Co at (0.500, 0.500, 0.267) and As at (0.000, 0.000, 0.500).

No. 3
The following is a DFT calculation (PBE) of a geometry-optimized ZnCoAs structure.

The structure belongs to space group P-6m2 (No. 187); the cell edges are 3.9466, 3.9466 and 3.2987 Å and the angles 90.00°, 90.00° and 120.00°. Symmetry generates all atoms from Zn at (0.0000, 0.0000, 0.0000), Co at (0.6667, 0.3333, 0.5000) and As at (0.3333, 0.6667, 0.5000).

No. 4
The following is a DFT calculation (PBE) of a geometry-optimized ZnCo2As structure.

The value obtained for the energy above the most stable polymorph in this dataset is 300.5 meV/atom.

The structure belongs to space group I-42d (No. 122); the cell edges are 6.464, 6.464 and 5.294 Å and the angles 90.00°, 90.00° and 90.00°. Symmetry generates all atoms from Zn at (0.000, 0.000, 0.000), Co at (0.215, 0.750, 0.625) and As at (0.000, 0.000, 0.500).

No. 5
The following is a DFT calculation (PBE) of a geometry-optimized ZnCo2As structure.

The value obtained for the energy above the most stable polymorph in this dataset is 278.9 meV/atom.

The structure belongs to space group F-43m (No. 216); the cell edges are 5.937, 5.937 and 5.937 Å and the angles 90.00°, 90.00° and 90.00°. Symmetry generates all atoms from Zn at (0.000, 0.000, 0.000), Co at (0.000, 0.000, 0.500), Co at (0.250, 0.250, 0.250) and As at (0.250, 0.250, 0.750).

No. 6
The following is a DFT calculation (PBE) of a geometry-optimized ZnCo2As structure.

The value obtained for the energy above the most stable polymorph in this dataset is 80.6 meV/atom.

The structure belongs to space group Imm2 (No. 44); the cell edges are 2.819, 3.723 and 10.041 Å and the angles 90.00°, 90.00° and 90.00°. Symmetry generates all atoms from Zn at (0.000, 0.000, 0.000), Co at (0.000, 0.000, 0.432), Co at (0.000, 0.500, 0.180) and As at (0.000, 0.500, 0.750).

No. 7
The following is a DFT calculation (PBE) of a geometry-optimized ZnCo2As structure.

The value obtained for the energy above the most stable polymorph in this dataset is 101.3 meV/atom.

The structure belongs to space group P4mm (No. 99); the cell edges are 2.764, 2.764 and 7.477 Å and the angles 90.00°, 90.00° and 90.00°. Symmetry generates all atoms from Zn at (0.000, 0.000, 0.000), Co at (0.000, 0.000, 0.584), Co at (0.500, 0.500, 0.787) and As at (0.500, 0.500, 0.378).

No. 8
The following is a DFT calculation (PBE) of a geometry-optimized ZnCo2As structure.

The value obtained for the energy above the most stable polymorph in this dataset is 22.4 meV/atom.

The structure belongs to space group P4/mmm (No. 123); the cell edges are 3.878, 3.878 and 3.224 Å and the angles 90.00°, 90.00° and 90.00°. Symmetry generates all atoms from Zn at (0.000, 0.000, 0.000), Co at (0.000, 0.500, 0.500) and As at (0.500, 0.500, 0.000).

No. 9
The following is a DFT calculation (PBE) of a geometry-optimized ZnCo2As structure.

The value obtained for the energy above the most stable polymorph in this dataset is 121.6 meV/atom.

The structure belongs to space group Pm (No. 6); the cell edges are 2.781, 4.231 and 4.661 Å and the angles 90.00°, 107.27° and 90.00°. Symmetry generates all atoms from Zn at (0.000, 0.000, 0.000), Co at (0.368, 0.500, 0.739), Co at (0.740, 0.000, 0.482) and As at (0.647, 0.500, 0.295).

No. 10
The following is a DFT calculation (PBE) of a geometry-optimized ZnCoAs structure.

The structure belongs to space group P3m1 (No. 156); the cell edges are 2.9730, 2.9730 and 5.8696 Å and the angles 90.00°, 90.00° and 120.00°. Symmetry generates all atoms from Zn at (0.0000, 0.0000, 0.0000), Co at (0.3333, 0.6667, 0.6824) and As at (0.6667, 0.3333, 0.4169).

No. 11
The following is a DFT calculation (PBE) of a geometry-optimized ZrCo4As2 structure.

The structure belongs to space group P4_2/mnm (No. 136); the cell edges are 7.085, 7.085 and 3.708 Å and the angles 90.00°, 90.00° and 90.00°. Symmetry generates all atoms from Zr at (0.000, 0.000, 0.000), Co at (0.085, 0.349, 0.500) and As at (0.220, 0.780, 0.500).

No. 12
The following is a DFT calculation (PBE) of a geometry-optimized ZrCoAs2 structure.

The structure belongs to space group Cmmm (No. 65); the cell edges are 3.886, 5.262 and 6.526 Å and the angles 90.00°, 90.00° and 90.00°. Symmetry generates all atoms from Zr at (0.000, 0.000, 0.000), Co at (0.000, 0.000, 0.500) and As at (0.000, 0.500, 0.288).

We obtain formation energy from the elements values of 0.076, -0.022, 0.090, 0.272, 0.250, 0.052, 0.072, -0.006, 0.093, 0.009, -0.440, -0.312 eV/atom for the records listed above, in that order.